(1)
# BaSmZnHg GGA-PBE optimized geometry
data_BaSmZnHg
_chemical_formula_sum 'Ba1 Sm1 Zn1 Hg1'
_symmetry_space_group_name_H-M 'P 1'
_symmetry_Int_Tables_number 1
_cell_length_a 5.565
_cell_length_b 5.565
_cell_length_c 5.565
_cell_angle_alpha 60.00
_cell_angle_beta 60.00
_cell_angle_gamma 60.00
loop_
_symmetry_equiv_pos_as_xyz
'x,y,z'
loop_
_atom_site_label
_atom_site_type_symbol
_atom_site_fract_x
_atom_site_fract_y
_atom_site_fract_z
_atom_site_occupancy
Zn1 Zn 0.000 0.000 0.000 1
Hg1 Hg 0.500 0.500 0.500 1
Sm1 Sm 0.750 0.750 0.750 1
Ba1 Ba 0.250 0.250 0.250 1
# ΔE_f = -245.9 meV/atom
# V = 30.47 Å³ per atom



(2)
# DyHfPtRh GGA-PBE optimized geometry
data_DyHfPtRh
_chemical_formula_sum 'Dy1 Hf1 Pt1 Rh1'
_symmetry_space_group_name_H-M 'P 1'
_symmetry_Int_Tables_number 1
_cell_length_a 4.780
_cell_length_b 4.780
_cell_length_c 4.780
_cell_angle_alpha 60.00
_cell_angle_beta 60.00
_cell_angle_gamma 60.00
loop_
_symmetry_equiv_pos_as_xyz
'x,y,z'
loop_
_atom_site_label
_atom_site_type_symbol
_atom_site_fract_x
_atom_site_fract_y
_atom_site_fract_z
_atom_site_occupancy
Rh1 Rh 0.250 0.250 0.250 1
Hf1 Hf 0.500 0.500 0.500 1
Pt1 Pt 0.750 0.750 0.750 1
Dy1 Dy 0.000 0.000 0.000 1
# ΔE_f = -913.4 meV/atom
# V = 19.31 Å³ per atom



(3)
# TaAg3Au12 GGA-PBE optimized geometry
data_TaAg3Au12
_chemical_formula_sum 'Ta1 Ag3 Au12'
_symmetry_space_group_name_H-M 'P 1'
_symmetry_Int_Tables_number 1
_cell_length_a 4.213
_cell_length_b 4.213
_cell_length_c 16.220
_cell_angle_alpha 90.00
_cell_angle_beta 90.00
_cell_angle_gamma 90.00
loop_
_symmetry_equiv_pos_as_xyz
'x,y,z'
loop_
_atom_site_label
_atom_site_type_symbol
_atom_site_fract_x
_atom_site_fract_y
_atom_site_fract_z
_atom_site_occupancy
Ta1 Ta 0.000 0.000 0.000 1
Ag1 Ag 0.000 0.000 0.249 1
Ag2 Ag 0.000 0.000 0.500 1
Ag3 Ag 0.000 0.000 0.751 1
Au1 Au 0.500 0.500 0.000 1
Au2 Au 0.500 0.500 0.250 1
Au3 Au 0.500 0.500 0.500 1
Au4 Au 0.500 0.500 0.750 1
Au5 Au 0.500 0.000 0.121 1
Au6 Au 0.500 0.000 0.375 1
Au7 Au 0.500 0.000 0.625 1
Au8 Au 0.500 0.000 0.879 1
Au9 Au 0.000 0.500 0.121 1
Au10 Au 0.000 0.500 0.375 1
Au11 Au 0.000 0.500 0.625 1
Au12 Au 0.000 0.500 0.879 1
# ΔE_f = 16.5 meV/atom
# V = 18.00 Å³ per atom



(4)
# MoAs4 GGA-PBE optimized geometry
data_MoAs4
_chemical_formula_sum 'Mo1 As4'
_symmetry_space_group_name_H-M 'P 1'
_symmetry_Int_Tables_number 1
_cell_length_a 4.874
_cell_length_b 4.874
_cell_length_c 4.874
_cell_angle_alpha 90.00
_cell_angle_beta 90.00
_cell_angle_gamma 90.00
loop_
_symmetry_equiv_pos_as_xyz
'x,y,z'
loop_
_atom_site_label
_atom_site_type_symbol
_atom_site_fract_x
_atom_site_fract_y
_atom_site_fract_z
_atom_site_occupancy
Mo1 Mo 0.500 0.500 0.500 1
As1 As 0.000 0.000 0.000 1
As2 As 0.500 0.000 0.500 1
As3 As 0.000 0.500 0.500 1
As4 As 0.500 0.500 0.000 1
# ΔE_f = 628.5 meV/atom
# V = 23.16 Å³ per atom



(5)
# LiAlNi GGA-PBE optimized geometry
data_LiAlNi
_chemical_formula_sum 'Li1 Al1 Ni1'
_symmetry_space_group_name_H-M 'P 1'
_symmetry_Int_Tables_number 1
_cell_length_a 4.031
_cell_length_b 4.031
_cell_length_c 4.031
_cell_angle_alpha 60.00
_cell_angle_beta 60.00
_cell_angle_gamma 60.00
loop_
_symmetry_equiv_pos_as_xyz
'x,y,z'
loop_
_atom_site_label
_atom_site_type_symbol
_atom_site_fract_x
_atom_site_fract_y
_atom_site_fract_z
_atom_site_occupancy
Al1 Al 0.750 0.750 0.750 1
Li1 Li 0.000 0.000 0.000 1
Ni1 Ni 0.500 0.500 0.500 1
# ΔE_f = 97.0 meV/atom
# V = 15.44 Å³ per atom



(6)
# BaAl2Te GGA-PBE optimized geometry
data_BaAl2Te
_chemical_formula_sum 'Ba1 Al2 Te1'
_symmetry_space_group_name_H-M 'P 1'
_symmetry_Int_Tables_number 1
_cell_length_a 5.971
_cell_length_b 5.971
_cell_length_c 5.852
_cell_angle_alpha 70.58
_cell_angle_beta 70.58
_cell_angle_gamma 38.89
loop_
_symmetry_equiv_pos_as_xyz
'x,y,z'
loop_
_atom_site_label
_atom_site_type_symbol
_atom_site_fract_x
_atom_site_fract_y
_atom_site_fract_z
_atom_site_occupancy
Te1 Te 0.250 0.250 0.250 1
Ba1 Ba 0.750 0.750 0.750 1
Al1 Al 0.972 0.972 0.113 1
Al2 Al 0.528 0.528 0.387 1
# E_form (uncorrected) = -0.25 eV/atom
# V = 30.64 Å³ per atom



(7)
# LiAlPd GGA-PBE optimized geometry
data_LiAlPd
_chemical_formula_sum 'Li4 Al4 Pd4'
_symmetry_space_group_name_H-M 'P 1'
_symmetry_Int_Tables_number 1
_cell_length_a 7.697
_cell_length_b 5.730
_cell_length_c 5.165
_cell_angle_alpha 123.56
_cell_angle_beta 90.00
_cell_angle_gamma 90.00
loop_
_symmetry_equiv_pos_as_xyz
'x,y,z'
loop_
_atom_site_label
_atom_site_type_symbol
_atom_site_fract_x
_atom_site_fract_y
_atom_site_fract_z
_atom_site_occupancy
Al1 Al 0.500 0.387 0.675 1
Al2 Al 0.000 0.113 0.325 1
Al3 Al 0.500 0.613 0.325 1
Al4 Al 0.000 0.887 0.675 1
Li1 Li 0.828 0.500 0.999 1
Li2 Li 0.672 0.000 0.999 1
Li3 Li 0.172 0.500 0.001 1
Li4 Li 0.328 0.000 0.001 1
Pd1 Pd 0.283 0.000 0.501 1
Pd2 Pd 0.217 0.500 0.501 1
Pd3 Pd 0.717 0.000 0.499 1
Pd4 Pd 0.783 0.500 0.499 1
# ΔE_f = -581.9 meV/atom
# V = 15.82 Å³ per atom



(8)
# Sm2NiBr GGA-PBE optimized geometry
data_Sm2NiBr
_chemical_formula_sum 'Sm2 Ni1 Br1'
_symmetry_space_group_name_H-M 'P 1'
_symmetry_Int_Tables_number 1
_cell_length_a 4.017
_cell_length_b 4.017
_cell_length_c 8.063
_cell_angle_alpha 75.58
_cell_angle_beta 75.58
_cell_angle_gamma 60.00
loop_
_symmetry_equiv_pos_as_xyz
'x,y,z'
loop_
_atom_site_label
_atom_site_type_symbol
_atom_site_fract_x
_atom_site_fract_y
_atom_site_fract_z
_atom_site_occupancy
Sm1 Sm 0.064 0.064 0.808 1
Sm2 Sm 0.270 0.270 0.189 1
Ni1 Ni 0.667 0.667 0.999 1
Br1 Br 0.499 0.499 0.504 1
# E_form (uncorrected) = -0.80 eV/atom
# ΔE to the lowest computed polymorph = 0.0140 eV per atom
# V = 26.98 Å³ per atom



(9)
# Ac6Ir3Rh2Se GGA-PBE optimized geometry
data_Ac6Ir3Rh2Se
_chemical_formula_sum 'Ac6 Ir3 Rh2 Se1'
_symmetry_space_group_name_H-M 'P 1'
_symmetry_Int_Tables_number 1
_cell_length_a 4.334
_cell_length_b 8.732
_cell_length_c 9.682
_cell_angle_alpha 102.50
_cell_angle_beta 102.93
_cell_angle_gamma 90.00
loop_
_symmetry_equiv_pos_as_xyz
'x,y,z'
loop_
_atom_site_label
_atom_site_type_symbol
_atom_site_fract_x
_atom_site_fract_y
_atom_site_fract_z
_atom_site_occupancy
Ac1 Ac 0.328 0.915 0.656 1
Ac2 Ac 0.668 0.588 0.336 1
Ac3 Ac 0.672 0.085 0.344 1
Ac4 Ac 0.000 0.265 0.001 1
Ac5 Ac 0.000 0.735 0.999 1
Ac6 Ac 0.332 0.412 0.664 1
Ir1 Ir 0.500 0.500 0.000 1
Ir2 Ir 0.839 0.166 0.678 1
Ir3 Ir 0.161 0.834 0.322 1
Rh1 Rh 0.835 0.668 0.669 1
Rh2 Rh 0.165 0.332 0.331 1
Se1 Se 0.500 0.000 0.000 1
# E_form (uncorrected) = -0.76 eV/atom
# V = 29.01 Å³ per atom



(10)
# La8In3Tc2 GGA-PBE optimized geometry
data_La8In3Tc2
_chemical_formula_sum 'La8 In3 Tc2'
_symmetry_space_group_name_H-M 'P 1'
_symmetry_Int_Tables_number 1
_cell_length_a 4.658
_cell_length_b 8.216
_cell_length_c 10.899
_cell_angle_alpha 69.01
_cell_angle_beta 90.00
_cell_angle_gamma 90.00
loop_
_symmetry_equiv_pos_as_xyz
'x,y,z'
loop_
_atom_site_label
_atom_site_type_symbol
_atom_site_fract_x
_atom_site_fract_y
_atom_site_fract_z
_atom_site_occupancy
La1 La 0.000 0.325 0.427 1
La2 La 0.000 0.675 0.573 1
La3 La 0.000 0.783 0.228 1
La4 La 0.000 0.217 0.772 1
La5 La 0.500 0.952 0.680 1
La6 La 0.500 0.458 0.864 1
La7 La 0.500 0.542 0.136 1
La8 La 0.500 0.048 0.320 1
In1 In 0.500 0.000 0.000 1
In2 In 0.000 0.252 0.094 1
In3 In 0.000 0.748 0.906 1
Tc1 Tc 0.500 0.649 0.419 1
Tc2 Tc 0.500 0.351 0.581 1
# ΔE_f = -163.3 meV/atom
# V = 29.95 Å³ per atom



(11)
# Th6C3SeS2 GGA-PBE optimized geometry
data_Th6C3SeS2
_chemical_formula_sum 'Th6 C3 Se1 S2'
_symmetry_space_group_name_H-M 'P 1'
_symmetry_Int_Tables_number 1
_cell_length_a 3.857
_cell_length_b 8.143
_cell_length_c 9.004
_cell_angle_alpha 106.97
_cell_angle_beta 102.37
_cell_angle_gamma 90.00
loop_
_symmetry_equiv_pos_as_xyz
'x,y,z'
loop_
_atom_site_label
_atom_site_type_symbol
_atom_site_fract_x
_atom_site_fract_y
_atom_site_fract_z
_atom_site_occupancy
Th1 Th 0.323 0.938 0.645 1
Th2 Th 0.658 0.605 0.317 1
Th3 Th 0.677 0.062 0.355 1
Th4 Th 0.991 0.278 0.982 1
Th5 Th 0.009 0.722 0.018 1
Th6 Th 0.342 0.395 0.683 1
C1 C 0.500 0.500 0.000 1
C2 C 0.833 0.169 0.667 1
C3 C 0.167 0.831 0.333 1
Se1 Se 0.500 0.000 0.000 1
S1 S 0.833 0.667 0.667 1
S2 S 0.167 0.333 0.333 1
# E_form (uncorrected) = -1.16 eV/atom
# V = 21.96 Å³ per atom



(12)
# Li3Zn6Ga2 GGA-PBE optimized geometry
data_Li3Zn6Ga2
_chemical_formula_sum 'Li3 Zn6 Ga2'
_symmetry_space_group_name_H-M 'P 1'
_symmetry_Int_Tables_number 1
_cell_length_a 4.459
_cell_length_b 8.392
_cell_length_c 12.131
_cell_angle_alpha 32.74
_cell_angle_beta 100.17
_cell_angle_gamma 121.71
loop_
_symmetry_equiv_pos_as_xyz
'x,y,z'
loop_
_atom_site_label
_atom_site_type_symbol
_atom_site_fract_x
_atom_site_fract_y
_atom_site_fract_z
_atom_site_occupancy
Li1 Li 0.000 0.000 0.000 1
Li2 Li 0.940 0.761 0.356 1
Li3 Li 0.060 0.239 0.644 1
Zn1 Zn 0.378 0.095 0.575 1
Zn2 Zn 0.319 0.865 0.911 1
Zn3 Zn 0.622 0.905 0.425 1
Zn4 Zn 0.681 0.135 0.089 1
Zn5 Zn 0.885 0.536 0.687 1
Zn6 Zn 0.115 0.464 0.313 1
Ga1 Ga 0.479 0.386 0.184 1
Ga2 Ga 0.521 0.614 0.816 1
# ΔE_f = -135.5 meV/atom
# V = 15.50 Å³ per atom